The following is a DFT calculation (PBE) of a relaxed YAlBiIr2 crystal.

Cell lengths 5.0527, 5.0527, 5.2064 Å; angles 90.00, 90.00, 90.00 degrees
Space group P4/mmm (No. 123)
Inequivalent atoms, fractional coordinates:
Y1 0.0000 0.0000 0.0000 x1
Al1 0.0000 0.0000 0.5000 x1
Bi1 0.5000 0.5000 0.5000 x1
Ir1 0.0000 0.5000 0.0000 x2

The formation energy comes out at 1.32 eV/atom.